Record 1
A plane-wave DFT calculation with GGA-PBE was carried out for a relaxed structure of PSeI2.

a b c (Å): 7.8137 7.8137 8.0503
angles (deg): 90.00 90.00 90.00
Last column: nearest neighbours and their distance in Å.
Positions (direct):
P: 0.0000 0.0000 0.0000  4 I 2.80
P: 0.0000 0.5000 0.2500  4 I 2.80
P: 0.5000 0.0000 0.7500  4 I 2.80
P: 0.5000 0.5000 0.5000  4 I 2.80
Se: 0.0000 0.0000 0.5000  4 I 3.09
Se: 0.0000 0.5000 0.7500  4 I 3.09
Se: 0.5000 0.0000 0.2500  4 I 3.09
Se: 0.5000 0.5000 0.0000  4 I 3.09
I: 0.2218 0.2500 0.1250  2 P 2.80, 2 Se 3.09
I: 0.2500 0.7218 0.3750  2 P 2.80, 2 Se 3.09
I: 0.2500 0.7782 0.8750  2 P 2.80, 2 Se 3.09
I: 0.2782 0.2500 0.6250  2 P 2.80, 2 Se 3.09
I: 0.7218 0.7500 0.6250  2 P 2.80, 2 Se 3.09
I: 0.7500 0.2218 0.8750  2 P 2.80, 2 Se 3.09
I: 0.7500 0.2782 0.3750  2 P 2.80, 2 Se 3.09
I: 0.7782 0.7500 0.1250  2 P 2.80, 2 Se 3.09

Calculated volume = 30.719 Å³ per atom
Fermi-level density of states = 1.06 states/eV/atom

---

Record 2
A plane-wave DFT calculation with GGA-PBE was carried out for a relaxed structure of MgNbAg.

a b c (Å): 3.2529 4.4847 7.7168
angles (deg): 90.00 102.09 90.00
Last column: nearest neighbours and their distance in Å.
Positions (direct):
Mg: 0.0800 0.2500 0.1592  6 Ag 2.77-2.95
Mg: 0.9200 0.7500 0.8408  6 Ag 2.77-2.95
Nb: 0.2452 0.7500 0.4902  4 Nb 2.77, 2 Ag 2.93-2.94, 1 Mg 3.10
Nb: 0.7548 0.2500 0.5098  4 Nb 2.77, 2 Ag 2.93-2.94, 1 Mg 3.10
Ag: 0.4165 0.2500 0.8336  6 Mg 2.77-2.95, 2 Nb 2.93-2.94
Ag: 0.5835 0.7500 0.1664  6 Mg 2.77-2.95, 2 Nb 2.93-2.94

Calculated volume = 18.347 Å³ per atom
Formation enthalpy at 0 K = 55 meV per atom
Fermi-level density of states = 0.55 states/eV/atom

---

Record 3
A plane-wave DFT calculation with GGA-PBE was carried out for a relaxed structure of Na2SiBPd6.

a b c (Å): 5.8260 5.8260 6.7642
angles (deg): 115.43 115.43 60.09
Last column: nearest neighbours and their distance in Å.
Positions (direct):
Na: 0.2179 0.2179 0.1543  9 Pd 3.05-3.25
Na: 0.7821 0.7821 0.8457  9 Pd 3.05-3.25
Si: 0.5000 0.5000 0.0000  6 Pd 2.42
B: 0.0000 0.0000 0.5000  6 Pd 2.09
Pd: 0.2384 0.2384 0.6896  1 B 2.09
Pd: 0.2385 0.7127 0.6896  1 B 2.09
Pd: 0.2873 0.7615 0.3104  1 B 2.09
Pd: 0.7127 0.2385 0.6896  1 B 2.09
Pd: 0.7615 0.2873 0.3104  1 B 2.09
Pd: 0.7616 0.7616 0.3104  1 B 2.09

Calculated volume = 17.281 Å³ per atom
Fermi-level density of states = 0.28 states/eV/atom

---

Record 4
A plane-wave DFT calculation with GGA-PBE was carried out for a relaxed structure of Na2AgClO.

a b c (Å): 8.1486 8.1486 6.7641
angles (deg): 90.00 90.00 154.61
Last column: nearest neighbours and their distance in Å.
Positions (direct):
Na: 0.1388 0.8612 0.5086  1 O 2.21
Na: 0.1388 0.8612 0.9914  1 O 2.21
Na: 0.8612 0.1388 0.0086  1 O 2.21
Na: 0.8612 0.1388 0.4914  1 O 2.21
Ag: 0.4961 0.5039 0.7500  4 O 2.46
Ag: 0.5039 0.4961 0.2500  4 O 2.46
Cl: 0.2735 0.7265 0.2500  6 Na 2.77-2.80
Cl: 0.7265 0.2735 0.7500  6 Na 2.77-2.80
O: 0.0000 0.0000 0.0000  2 Na 2.21, 4 Ag 2.46
O: 0.0000 0.0000 0.5000  2 Na 2.21, 4 Ag 2.46

Calculated volume = 19.257 Å³ per atom
Fermi-level density of states = 0.17 states/eV/atom

---

| no. | electronic total energy (Ha/atom) |
| --- | --- |
| 1 | -0.0851 |
| 2 | -0.1758 |
| 3 | -0.1803 |
| 4 | -0.1258 |